1.
Density functional theory data (PBE) for an optimized crystal structure of Lu2Ni3.

```
data_Lu2Ni3
_cell_length_a 6.3492
_cell_length_b 6.3492
_cell_length_c 15.8665
_cell_angle_alpha 90.00
_cell_angle_beta 90.00
_cell_angle_gamma 120.00
_space_group_name_H-M_alt 'R -3 c'
_space_group_IT_number 167
_space_group_name_Hall '-R 3 2"c'
loop_
_atom_site_label
_atom_site_fract_x
_atom_site_fract_y
_atom_site_fract_z
Lu1 0.0000 0.0000 0.1034
Ni1 0.0000 0.2170 0.2500
```

## Properties
ΔH_f (0 K), meV per atom: 44



2.
Density functional theory data (PBE) for an optimized crystal structure of Lu3Ni.

```
data_Lu3Ni
_cell_length_a 7.246
_cell_length_b 7.246
_cell_length_c 7.246
_cell_angle_alpha 90.00
_cell_angle_beta 90.00
_cell_angle_gamma 90.00
_space_group_name_H-M_alt 'F m -3 m'
_space_group_IT_number 225
_space_group_name_Hall '-F 4 2 3'
loop_
_atom_site_label
_atom_site_fract_x
_atom_site_fract_y
_atom_site_fract_z
Lu1 0.000 0.000 0.000
Lu2 0.250 0.250 0.250
Ni1 0.000 0.000 0.500
```

## Properties
ΔH_f (0 K), meV per atom: 121